[1]
A plane-wave DFT calculation with PBE-GGA was carried out for a relaxed Y2CdPb crystal.

abc: 11.0087 11.0087 11.0087
angles: 18.63 18.63 18.63
Sites, in units of the cell vectors:
Y1 0.0000 0.0000 0.0000
Y2 0.2468 0.2468 0.2468
Cd1 0.7469 0.7469 0.7469
Pb1 0.4940 0.4940 0.4940

The density of states at the Fermi level comes out at 0.928 states/eV per atom. Its space-group type is No. 160. The calculation puts the formation enthalpy at 0 K at -0.375 eV per formula unit. For the magnetization, the calculation gives 0.3 μB/f.u. Its calculated total energy is -4.482 eV per atom.



[2]
A plane-wave DFT calculation with PBE-GGA was carried out for a relaxed YCdPb crystal.

abc: 3.5647 3.5647 7.7969
angles: 90.00 90.00 120.00
Sites, in units of the cell vectors:
Y1 0.0000 0.0000 0.0000
Cd1 0.6667 0.3333 0.3291
Pb1 0.3333 0.6667 0.6548

The density of states at the Fermi level comes out at 1.025 states/eV per atom. Its space-group type is No. 156. The calculation puts the formation enthalpy at 0 K at -0.321 eV per formula unit. For the magnetization, the calculation gives 0.0 μB/f.u. Its calculated total energy is -3.803 eV per atom.



[3]
A plane-wave DFT calculation with PBE-GGA was carried out for a relaxed Y4Cd2Pb crystal.

abc: 9.1458 9.1458 9.1458
angles: 33.35 33.35 33.35
Sites, in units of the cell vectors:
Y1 0.1178 0.1178 0.1178
Y2 0.3704 0.3704 0.3704
Y3 0.6296 0.6296 0.6296
Y4 0.8822 0.8822 0.8822
Cd1 0.2513 0.2513 0.2513
Cd2 0.7487 0.7487 0.7487
Pb1 0.5000 0.5000 0.5000

The density of states at the Fermi level comes out at 1.449 states/eV per atom. Its space-group type is No. 166. The calculation puts the formation enthalpy at 0 K at -1.429 eV per formula unit. For the magnetization, the calculation gives 0.0 μB/f.u. Its calculated total energy is -4.689 eV per atom.



[4]
A plane-wave DFT calculation with PBE-GGA was carried out for a relaxed Y2CdPb crystal.

abc: 5.0439 5.0439 4.2599
angles: 90.00 90.00 90.00
Sites, in units of the cell vectors:
Y1 0.0000 0.5000 0.0000
Y2 0.5000 0.0000 0.0000
Cd1 0.0000 0.0000 0.5000
Pb1 0.5000 0.5000 0.5000

The density of states at the Fermi level comes out at 0.886 states/eV per atom. Its space-group type is No. 123. The calculation puts the formation enthalpy at 0 K at -1.690 eV per formula unit. For the magnetization, the calculation gives 0.0 μB/f.u. Its calculated total energy is -4.810 eV per atom.